{"formula": "Cr3AsO", "functional": "SCAN", "state": "PBEsol geometry", "e_above_lowest_polymorph_mev_per_atom": 0, "mass_density_g_cm3": 7.46, "e_form_raw_ev_per_atom": -0.347, "m_tot_mub_per_fu": 2.86, "sg": "No. 221", "cell": [[3.802, 0.000, 0.000], [0.000, 3.802, 0.000], [0.000, 0.000, 3.802]], "species": ["Cr", "Cr", "Cr", "As", "O"], "fractional_positions": [[0.000, 0.000, 0.500], [0.000, 0.500, 0.000], [0.500, 0.000, 0.000], [0.500, 0.500, 0.500], [0.000, 0.000, 0.000]]}